A geometry-optimized Er2ScNbN4 structure, computed with PBE.

Output
**Total magnetization**: 0.00 μB per cell
**E**: -8.9825 eV per atom
**DOS(E_F)**: 2.2 states/eV/f.u.
**Crystal system**: monoclinic

Unit cell a=5.673 b=3.267 c=5.693 alpha=90.00 beta=109.17 gamma=90.00
Fractional positions:
Er 0.000 0.000 0.000
Er 0.500 0.500 0.000
Sc 0.000 0.500 0.500
Nb 0.500 0.000 0.500
N 0.250 0.000 0.732
N 0.258 0.500 0.267
N 0.742 0.500 0.733
N 0.750 0.000 0.268